1.
! Sc2InOs, optimized geometry, DFT GGA-PBE; values from VASP
! SG: F-43m, No. 216
! E_tot in eV/cell: -110.0
! Mass density in g/cm³: 8.84
&SYSTEM
  ibrav = 0, nat = 16, ntyp = 3
/
ATOMIC_SPECIES
Sc 44.96 Sc.upf
In 114.82 In.upf
Os 190.23 Os.upf
CELL_PARAMETERS angstrom
6.670 0.000 0.000
0.000 6.670 0.000
0.000 0.000 6.670
ATOMIC_POSITIONS crystal
Sc 0.000 0.000 0.000
Sc 0.000 0.500 0.500
Sc 0.250 0.250 0.250
Sc 0.250 0.750 0.750
Sc 0.500 0.000 0.500
Sc 0.500 0.500 0.000
Sc 0.750 0.250 0.750
Sc 0.750 0.750 0.250
In 0.000 0.000 0.500
In 0.000 0.500 0.000
In 0.500 0.000 0.000
In 0.500 0.500 0.500
Os 0.250 0.250 0.750
Os 0.250 0.750 0.250
Os 0.750 0.250 0.250
Os 0.750 0.750 0.750

2.
! NiSnMo4C2, optimized geometry, DFT GGA-PBE; values from VASP
! SG: P-6m2, No. 187
! E_tot in eV/cell: -70.7
! Mass density in g/cm³: 8.80
&SYSTEM
  ibrav = 0, nat = 8, ntyp = 4
/
ATOMIC_SPECIES
Ni 58.69 Ni.upf
Sn 118.71 Sn.upf
Mo 95.94 Mo.upf
C 12.01 C.upf
CELL_PARAMETERS angstrom
3.125 0.000 0.000
-1.563 2.706 0.000
0.000 0.000 13.057
ATOMIC_POSITIONS crystal
Ni 0.000 0.000 0.000
Sn 0.667 0.333 0.500
Mo 0.000 0.000 0.321
Mo 0.000 0.000 0.679
Mo 0.667 0.333 0.148
Mo 0.667 0.333 0.852
C 0.333 0.667 0.236
C 0.333 0.667 0.764

3.
! TaNbAs2Os2, optimized geometry, DFT GGA-PBE; values from VASP
! SG: Pm, No. 6
! E_tot in eV/cell: -221.4
! Mass density in g/cm³: 12.26
&SYSTEM
  ibrav = 0, nat = 24, ntyp = 4
/
ATOMIC_SPECIES
Ta 180.95 Ta.upf
Nb 92.91 Nb.upf
As 74.92 As.upf
Os 190.23 Os.upf
CELL_PARAMETERS angstrom
8.510 0.000 0.000
0.000 4.255 0.000
-4.255 0.000 12.035
ATOMIC_POSITIONS crystal
Ta 0.000 0.000 0.000
Ta 0.125 0.500 0.750
Ta 0.500 0.000 0.000
Ta 0.750 0.000 0.500
Nb 0.250 0.000 0.500
Nb 0.375 0.500 0.250
Nb 0.625 0.500 0.750
Nb 0.875 0.500 0.250
As 0.000 0.500 0.500
As 0.125 0.000 0.250
As 0.250 0.500 0.000
As 0.375 0.000 0.750
As 0.500 0.500 0.500
As 0.625 0.000 0.250
As 0.750 0.500 0.000
As 0.875 0.000 0.750
Os 0.062 0.500 0.125
Os 0.188 0.000 0.875
Os 0.312 0.500 0.625
Os 0.438 0.000 0.375
Os 0.562 0.500 0.125
Os 0.688 0.000 0.875
Os 0.813 0.500 0.625
Os 0.937 0.000 0.375